DFT (PBE) results for a geometry-optimized InCu2Pt3 structure.

a = 4.102 Å, b = 6.468 Å, c = 7.244 Å
α = 90.00°, β = 90.00°, γ = 71.51°
Fractional coordinates of all 12 atoms:
Cu  0.670  0.659  0.500
Pt  0.500  0.000  0.274
Pt  0.165  0.670  0.263
Pt  0.835  0.330  0.263
In  0.344  0.311  0.000
Pt  0.835  0.330  0.737
Cu  0.000  0.000  0.000
Pt  0.165  0.670  0.737
In  0.656  0.689  0.000
Cu  0.330  0.341  0.500
Cu  0.000  0.000  0.500
Pt  0.500  0.000  0.726

Results
Electronic total energy in eV per atom: -5.14
Calculated formation energy in meV/atom: -296
Size of the total moment in μB/atom: 0.0000
Crystal system: orthorhombic